--- a ---
## Mg3ZrCu (GGA-PBE)

Data for crystalline Mg3ZrCu at its relaxed geometry.

Summary:
Crystal system: cubic

a b c (Å): 4.7583 4.7583 4.7583
angles (deg): 90.00 90.00 90.00
Positions (direct):
Mg 0.0000 0.0000 0.5000
Mg 0.0000 0.5000 0.0000
Mg 0.5000 0.0000 0.0000
Zr 0.5000 0.5000 0.5000
Cu 0.0000 0.0000 0.0000

--- b ---
## Mg3ZrCu (GGA-PBE)

Data for crystalline Mg3ZrCu at its relaxed geometry.

Summary:
Crystal system: cubic

a b c (Å): 5.6145 5.6145 5.6145
angles (deg): 90.00 90.00 90.00
Positions (direct):
Mg 0.0000 0.0000 0.5000
Mg 0.0000 0.5000 0.0000
Mg 0.5000 0.0000 0.0000
Zr 0.0000 0.0000 0.0000
Cu 0.5000 0.5000 0.5000

Energies, relative to the best one, in meV per atom: a 0; b 1124.